1.
VASP calculation (PBE-GGA) on a relaxed structure of Ce2PuUS4.

## Properties
Calculated volume: 21.98 A^3/atom
Uncorrected formation energy: -1.798 eV per atom

Unit cell a=6.8348 b=3.9383 c=6.9219 alpha=90.00 beta=109.30 gamma=90.00
Sites, in units of the cell vectors:
Ce (0.0000, 0.0000, 0.0000)
Ce (0.0000, 0.5000, 0.5000)
Pu (0.5000, 0.0000, 0.5000)
U (0.5000, 0.5000, 0.0000)
S (0.2581, 0.5000, 0.2521)
S (0.2586, 0.0000, 0.7542)
S (0.7414, 0.0000, 0.2458)
S (0.7419, 0.5000, 0.7479)

***

2.
VASP calculation (PBE-GGA) on a relaxed structure of ReNiOs2.

## Properties
Calculated volume: 13.81 A^3/atom
Energy relative to the elements: 30.18 kJ per mole of atoms
Energy relative to the lowest polymorph listed for this composition: 210 meV per atom

Unit cell a=3.1135 b=3.1135 c=5.6979 alpha=90.00 beta=90.00 gamma=90.00
Sites, in units of the cell vectors:
Re (0.0000, 0.0000, 0.0000)
Ni (0.0000, 0.0000, 0.5000)
Os (0.5000, 0.5000, 0.2714)
Os (0.5000, 0.5000, 0.7286)

***

3.
VASP calculation (PBE-GGA) on a relaxed structure of MgScAl.

## Properties
Calculated volume: 21.54 A^3/atom
Energy relative to the elements: -5.34 kJ per mole of atoms

Unit cell a=4.2267 b=4.2267 c=7.2355 alpha=90.00 beta=90.00 gamma=90.00
Sites, in units of the cell vectors:
Mg (0.2500, 0.2500, 0.2311)
Mg (0.7500, 0.7500, 0.7689)
Sc (0.2500, 0.2500, 0.8073)
Sc (0.7500, 0.7500, 0.1927)
Al (0.2500, 0.7500, 0.5000)
Al (0.7500, 0.2500, 0.5000)

***

4.
VASP calculation (PBE-GGA) on a relaxed structure of Dy2ScTe2N2.

## Properties
Calculated volume: 21.17 A^3/atom
Uncorrected formation energy: -1.332 eV per atom

Unit cell a=4.1413 b=4.1413 c=17.2813 alpha=90.00 beta=90.00 gamma=90.00
Sites, in units of the cell vectors:
Dy (0.0000, 0.0000, 0.0901)
Dy (0.0000, 0.0000, 0.9099)
Dy (0.5000, 0.5000, 0.4099)
Dy (0.5000, 0.5000, 0.5901)
Sc (0.0000, 0.0000, 0.5000)
Sc (0.5000, 0.5000, 0.0000)
Te (0.0000, 0.0000, 0.3256)
Te (0.0000, 0.0000, 0.6744)
Te (0.5000, 0.5000, 0.1744)
Te (0.5000, 0.5000, 0.8256)
N (0.0000, 0.5000, 0.0000)
N (0.0000, 0.5000, 0.5000)
N (0.5000, 0.0000, 0.0000)
N (0.5000, 0.0000, 0.5000)

***

5.
VASP calculation (PBE-GGA) on a relaxed structure of TbTl7.

## Properties
Calculated volume: 28.93 A^3/atom
Energy relative to the elements: -8.41 kJ per mole of atoms

Unit cell a=6.8916 b=6.8916 c=6.8916 alpha=60.00 beta=60.00 gamma=60.00
Sites, in units of the cell vectors:
Tb (0.0000, 0.0000, 0.0000)
Tl (0.0000, 0.0000, 0.5000)
Tl (0.0000, 0.5000, 0.0000)
Tl (0.0000, 0.5000, 0.5000)
Tl (0.5000, 0.0000, 0.0000)
Tl (0.5000, 0.0000, 0.5000)
Tl (0.5000, 0.5000, 0.0000)
Tl (0.5000, 0.5000, 0.5000)

***

6.
VASP calculation (PBE-GGA) on a relaxed structure of Pm3Pr2Mg.

## Properties
Calculated volume: 36.99 A^3/atom
Energy relative to the elements: 35.07 kJ per mole of atoms
Energy relative to the lowest polymorph listed for this composition: 355 meV per atom

Unit cell a=3.4926 b=15.2889 c=8.3132 alpha=90.00 beta=90.00 gamma=90.00
Sites, in units of the cell vectors:
Pm (0.0000, 0.0000, 0.0000)
Pm (0.0000, 0.3971, 0.8184)
Pm (0.0000, 0.6029, 0.8184)
Pm (0.5000, 0.1029, 0.3184)
Pm (0.5000, 0.5000, 0.5000)
Pm (0.5000, 0.8971, 0.3184)
Pr (0.0000, 0.2601, 0.1203)
Pr (0.0000, 0.7399, 0.1203)
Pr (0.5000, 0.2399, 0.6203)
Pr (0.5000, 0.7601, 0.6203)
Mg (0.0000, 0.5000, 0.1561)
Mg (0.5000, 0.0000, 0.6561)

***

7.
VASP calculation (PBE-GGA) on a relaxed structure of KAl3Au.

## Properties
Calculated volume: 36.99 A^3/atom
Energy relative to the elements: 159.85 kJ per mole of atoms
Energy relative to the lowest polymorph listed for this composition: 1433 meV per atom

Unit cell a=5.6977 b=5.6977 c=5.6977 alpha=90.00 beta=90.00 gamma=90.00
Sites, in units of the cell vectors:
K (0.0000, 0.0000, 0.0000)
Al (0.0000, 0.0000, 0.5000)
Al (0.0000, 0.5000, 0.0000)
Al (0.5000, 0.0000, 0.0000)
Au (0.5000, 0.5000, 0.5000)

***

8.
VASP calculation (PBE-GGA) on a relaxed structure of Sr3Cd2Ga2Au4.

## Properties
Calculated volume: 26.21 A^3/atom
Energy relative to the elements: -52.66 kJ per mole of atoms

Unit cell a=4.7143 b=4.7143 c=14.9770 alpha=90.00 beta=90.00 gamma=120.00
Sites, in units of the cell vectors:
Sr (0.0000, 0.0000, 0.0000)
Sr (0.0000, 0.0000, 0.2673)
Sr (0.0000, 0.0000, 0.7327)
Cd (0.3333, 0.6667, 0.5660)
Cd (0.6667, 0.3333, 0.4340)
Ga (0.3333, 0.6667, 0.1370)
Ga (0.6667, 0.3333, 0.8630)
Au (0.3333, 0.6667, 0.3749)
Au (0.3333, 0.6667, 0.8684)
Au (0.6667, 0.3333, 0.1316)
Au (0.6667, 0.3333, 0.6251)

***

9.
VASP calculation (PBE-GGA) on a relaxed structure of Ga3IBr.

## Properties
Calculated volume: 45.00 A^3/atom
Uncorrected formation energy: 0.271 eV per atom
Energy relative to the lowest polymorph listed for this composition: 171 meV per atom

Unit cell a=6.0823 b=6.0823 c=6.0823 alpha=90.00 beta=90.00 gamma=90.00
Sites, in units of the cell vectors:
Ga (0.0000, 0.0000, 0.5000)
Ga (0.0000, 0.5000, 0.0000)
Ga (0.5000, 0.0000, 0.0000)
I (0.0000, 0.0000, 0.0000)
Br (0.5000, 0.5000, 0.5000)

***

10.
VASP calculation (PBE-GGA) on a relaxed structure of Ac2SbTe4.

## Properties
Calculated volume: 40.71 A^3/atom
Uncorrected formation energy: -0.986 eV per atom

Unit cell a=15.7871 b=5.0266 c=8.3704 alpha=90.00 beta=120.90 gamma=90.00
Sites, in units of the cell vectors:
Ac (0.2307, 0.0000, 0.2199)
Ac (0.2693, 0.5000, 0.7801)
Ac (0.7307, 0.5000, 0.2199)
Ac (0.7693, 0.0000, 0.7801)
Sb (0.0000, 0.5000, 0.5000)
Sb (0.5000, 0.0000, 0.5000)
Te (0.1100, 0.5000, 0.9302)
Te (0.1289, 0.0000, 0.4879)
Te (0.3711, 0.5000, 0.5121)
Te (0.3900, 0.0000, 0.0698)
Te (0.6100, 0.0000, 0.9302)
Te (0.6289, 0.5000, 0.4879)
Te (0.8711, 0.0000, 0.5121)
Te (0.8900, 0.5000, 0.0698)

***

11.
VASP calculation (PBE-GGA) on a relaxed structure of CeHo2PaAs4.

## Properties
Calculated volume: 24.81 A^3/atom
Energy relative to the elements: -132.98 kJ per mole of atoms

Unit cell a=7.1222 b=4.1296 c=7.1580 alpha=90.00 beta=109.51 gamma=90.00
Sites, in units of the cell vectors:
Ce (0.0000, 0.0000, 0.0000)
Ho (0.5000, 0.0000, 0.5000)
Ho (0.5000, 0.5000, 0.0000)
Pa (0.0000, 0.5000, 0.5000)
As (0.2513, 0.0000, 0.7460)
As (0.2530, 0.5000, 0.2561)
As (0.7470, 0.5000, 0.7439)
As (0.7487, 0.0000, 0.2540)

***

12.
VASP calculation (PBE-GGA) on a relaxed structure of Tb2Ni4Ge3Au.

## Properties
Calculated volume: 16.70 A^3/atom
Energy relative to the elements: -58.00 kJ per mole of atoms

Unit cell a=4.0806 b=4.0806 c=10.0270 alpha=90.00 beta=90.00 gamma=90.00
Sites, in units of the cell vectors:
Tb (0.0000, 0.5000, 0.2464)
Tb (0.5000, 0.0000, 0.7536)
Ni (0.0000, 0.0000, 0.0000)
Ni (0.0000, 0.5000, 0.6473)
Ni (0.5000, 0.0000, 0.3527)
Ni (0.5000, 0.5000, 0.0000)
Ge (0.0000, 0.5000, 0.8769)
Ge (0.5000, 0.0000, 0.1231)
Ge (0.5000, 0.5000, 0.5000)
Au (0.0000, 0.0000, 0.5000)

***

13.
VASP calculation (PBE-GGA) on a relaxed structure of MnTeMo3.

## Properties
Calculated volume: 18.67 A^3/atom
Uncorrected formation energy: 1.092 eV per atom
Energy relative to the lowest polymorph listed for this composition: 0 meV per atom

Unit cell a=4.5364 b=4.5364 c=4.5364 alpha=90.00 beta=90.00 gamma=90.00
Sites, in units of the cell vectors:
Mn (0.0000, 0.0000, 0.0000)
Te (0.5000, 0.5000, 0.5000)
Mo (0.0000, 0.0000, 0.5000)
Mo (0.0000, 0.5000, 0.0000)
Mo (0.5000, 0.0000, 0.0000)

***

14.
VASP calculation (PBE-GGA) on a relaxed structure of Sc2RuCl.

## Properties
Calculated volume: 19.06 A^3/atom
Uncorrected formation energy: -0.252 eV per atom
Energy relative to the lowest polymorph listed for this composition: 740 meV per atom

Unit cell a=3.1538 b=3.1538 c=26.5522 alpha=90.00 beta=90.00 gamma=120.00
Sites, in units of the cell vectors:
Sc (0.0000, 0.0000, 0.0881)
Sc (0.0000, 0.0000, 0.9119)
Sc (0.3333, 0.6667, 0.5785)
Sc (0.3333, 0.6667, 0.7548)
Sc (0.6667, 0.3333, 0.2452)
Sc (0.6667, 0.3333, 0.4215)
Ru (0.0000, 0.0000, 0.0000)
Ru (0.3333, 0.6667, 0.6667)
Ru (0.6667, 0.3333, 0.3333)
Cl (0.0000, 0.0000, 0.5000)
Cl (0.3333, 0.6667, 0.1667)
Cl (0.6667, 0.3333, 0.8333)

***

15.
VASP calculation (PBE-GGA) on a relaxed structure of Zr2AlAu.

## Properties
Calculated volume: 20.00 A^3/atom
Energy relative to the elements: -24.67 kJ per mole of atoms

Unit cell a=10.2078 b=3.1011 c=5.1703 alpha=90.00 beta=102.19 gamma=90.00
Sites, in units of the cell vectors:
Zr (0.2484, 0.0000, 0.2559)
Zr (0.2516, 0.5000, 0.7441)
Zr (0.7484, 0.5000, 0.2559)
Zr (0.7516, 0.0000, 0.7441)
Al (0.0000, 0.0000, 0.5000)
Al (0.5000, 0.5000, 0.5000)
Au (0.0000, 0.5000, 0.0000)
Au (0.5000, 0.0000, 0.0000)

***

16.
VASP calculation (PBE-GGA) on a relaxed structure of LaCo3Se.

## Properties
Calculated volume: 17.65 A^3/atom
Uncorrected formation energy: 0.095 eV per atom
Energy relative to the lowest polymorph listed for this composition: 0 meV per atom

Unit cell a=4.4519 b=4.4519 c=4.4519 alpha=90.00 beta=90.00 gamma=90.00
Sites, in units of the cell vectors:
La (0.0000, 0.0000, 0.0000)
Co (0.0000, 0.5000, 0.5000)
Co (0.5000, 0.0000, 0.5000)
Co (0.5000, 0.5000, 0.0000)
Se (0.5000, 0.5000, 0.5000)

***

17.
VASP calculation (PBE-GGA) on a relaxed structure of Pm2Sm3DyEr6.

## Properties
Calculated volume: 31.85 A^3/atom
Energy relative to the elements: 1.53 kJ per mole of atoms

Unit cell a=6.1791 b=6.1791 c=11.7384 alpha=95.02 beta=95.02 gamma=119.98
Sites, in units of the cell vectors:
Pm (0.1665, 0.8335, 0.0000)
Pm (0.8335, 0.1665, 0.0000)
Sm (0.0000, 0.0000, 0.5000)
Sm (0.3333, 0.6667, 0.5000)
Sm (0.6667, 0.3333, 0.5000)
Dy (0.5000, 0.5000, 0.0000)
Er (0.0833, 0.4163, 0.7504)
Er (0.2508, 0.2508, 0.2499)
Er (0.4163, 0.0833, 0.7504)
Er (0.5837, 0.9167, 0.2496)
Er (0.7492, 0.7492, 0.7501)
Er (0.9167, 0.5837, 0.2496)

***

18.
VASP calculation (PBE-GGA) on a relaxed structure of KCeCuCl6.

## Properties
Calculated volume: 30.60 A^3/atom
Uncorrected formation energy: -1.629 eV per atom

Unit cell a=6.6917 b=6.6917 c=14.2038 alpha=90.00 beta=90.00 gamma=120.00
Sites, in units of the cell vectors:
K (0.0000, 0.0000, 0.0000)
K (0.0000, 0.0000, 0.5000)
Ce (0.3333, 0.6667, 0.2500)
Ce (0.6667, 0.3333, 0.7500)
Cu (0.3333, 0.6667, 0.7500)
Cu (0.6667, 0.3333, 0.2500)
Cl (0.0154, 0.3720, 0.6445)
Cl (0.0154, 0.6434, 0.8555)
Cl (0.3566, 0.3720, 0.8555)
Cl (0.3566, 0.9846, 0.6445)
Cl (0.3720, 0.0154, 0.1445)
Cl (0.3720, 0.3566, 0.3555)
Cl (0.6280, 0.6434, 0.6445)
Cl (0.6280, 0.9846, 0.8555)
Cl (0.6434, 0.0154, 0.3555)
Cl (0.6434, 0.6280, 0.1445)
Cl (0.9846, 0.3566, 0.1445)
Cl (0.9846, 0.6280, 0.3555)

***

19.
VASP calculation (PBE-GGA) on a relaxed structure of Pm2P7Rh12.

## Properties
Calculated volume: 14.91 A^3/atom
Energy relative to the elements: -88.71 kJ per mole of atoms

Unit cell a=9.6233 b=9.6233 c=3.9032 alpha=90.00 beta=90.00 gamma=120.00
Sites, in units of the cell vectors:
Pm (0.3333, 0.6667, 0.2481)
Pm (0.6667, 0.3333, 0.7519)
P (0.0000, 0.0000, 0.0000)
P (0.1166, 0.4037, 0.7451)
P (0.2870, 0.8834, 0.7451)
P (0.4037, 0.2870, 0.2549)
P (0.5963, 0.7130, 0.7451)
P (0.7130, 0.1166, 0.2549)
P (0.8834, 0.5963, 0.2549)
Rh (0.0652, 0.6186, 0.7493)
Rh (0.1102, 0.8498, 0.2496)
Rh (0.1502, 0.2604, 0.2496)
Rh (0.2604, 0.1102, 0.7504)
Rh (0.3814, 0.4466, 0.7493)
Rh (0.4466, 0.0652, 0.2507)
Rh (0.5534, 0.9348, 0.7493)
Rh (0.6186, 0.5534, 0.2507)
Rh (0.7396, 0.8898, 0.2496)
Rh (0.8498, 0.7396, 0.7504)
Rh (0.8898, 0.1502, 0.7504)
Rh (0.9348, 0.3814, 0.2507)

***

20.
VASP calculation (PBE-GGA) on a relaxed structure of Sm2TmGe3Pt4.

## Properties
Calculated volume: 20.39 A^3/atom
Energy relative to the elements: -93.99 kJ per mole of atoms

Unit cell a=4.2670 b=4.2670 c=11.1994 alpha=90.00 beta=90.00 gamma=90.00
Sites, in units of the cell vectors:
Sm (0.0000, 0.5000, 0.2221)
Sm (0.5000, 0.0000, 0.7779)
Tm (0.0000, 0.0000, 0.5000)
Ge (0.0000, 0.5000, 0.8741)
Ge (0.5000, 0.0000, 0.1259)
Ge (0.5000, 0.5000, 0.5000)
Pt (0.0000, 0.0000, 0.0000)
Pt (0.0000, 0.5000, 0.6547)
Pt (0.5000, 0.0000, 0.3453)
Pt (0.5000, 0.5000, 0.0000)

***

no.,VASP energy (Ry per atom)
1,-0.628
2,-0.725
3,-0.290
4,-0.502
5,-0.201
6,-0.284
7,-0.108
8,-0.214
9,-0.161
10,-0.334
11,-0.498
12,-0.408
13,-0.578
14,-0.456
15,-0.462
16,-0.430
17,-0.340
18,-0.301
19,-0.542
20,-0.453